Computed, not measured: crystalline SrCaFeOs2 at its relaxed geometry at the PBE level of DFT.

The space group is P4/mmm (No. 123) and the conventional cell measures 4.770, 4.770 and 5.098 Å, with angles of 90.00, 90.00 and 90.00 degrees. The distinct sites, in fractional coordinates, are Sr at (0.000, 0.000, 0.000), Ca at (0.000, 0.000, 0.500), Fe at (0.500, 0.500, 0.000) and Os at (0.000, 0.500, 0.500).

The value obtained for the volume is 23.201 Å³ per atom. As for the crystal system: tetragonal. The calculation puts the calculated formation energy at 2.749 eV/atom.

Computed, not measured: crystalline CaGe2Au3 at its relaxed geometry at the PBE level of DFT.

The space group is C2/m (No. 12) and the conventional cell measures 16.218, 4.560 and 6.876 Å, with angles of 90.00, 108.17 and 90.00 degrees. The distinct sites, in fractional coordinates, are Ca at (0.124, 0.000, 0.185), Ge at (0.010, 0.500, 0.808), Ge at (0.227, 0.000, 0.670), Au at (0.063, 0.000, 0.706), Au at (0.141, 0.500, 0.510) and Au at (0.187, 0.500, 0.951).

The value obtained for the volume is 20.130 Å³ per atom. As for the crystal system: monoclinic. The calculation puts the calculated formation energy at -0.376 eV/atom.

Computed, not measured: crystalline AcLuMgIr at its relaxed geometry at the PBE level of DFT.

The space group is F-43m (No. 216) and the conventional cell measures 7.376, 7.376 and 7.376 Å, with angles of 90.00, 90.00 and 90.00 degrees. The distinct sites, in fractional coordinates, are Ac at (0.000, 0.000, 0.000), Lu at (0.000, 0.000, 0.500), Mg at (0.250, 0.250, 0.750) and Ir at (0.250, 0.250, 0.250).

The value obtained for the volume is 25.078 Å³ per atom. As for the crystal system: cubic. The calculation puts the calculated formation energy at -0.268 eV/atom.

Computed, not measured: crystalline Zr6Ir5Ru at its relaxed geometry at the PBE level of DFT.

The space group is P2/m (No. 10) and the conventional cell measures 4.675, 6.616 and 7.195 Å, with angles of 90.00, 103.63 and 90.00 degrees. The distinct sites, in fractional coordinates, are Zr at (0.000, 0.250, 0.000), Zr at (0.345, 0.248, 0.665), Ir at (0.138, 0.000, 0.321), Ir at (0.150, 0.500, 0.329), Ir at (0.500, 0.500, 0.000) and Ru at (0.500, 0.000, 0.000).

The value obtained for the volume is 18.021 Å³ per atom. As for the crystal system: monoclinic. The calculation puts the calculated formation energy at -0.754 eV/atom.

Computed, not measured: crystalline SbIrPb2 at its relaxed geometry at the PBE level of DFT.

The space group is Immm (No. 71) and the conventional cell measures 3.569, 4.186 and 14.261 Å, with angles of 90.00, 90.00 and 90.00 degrees. The distinct sites, in fractional coordinates, are Sb at (0.000, 0.000, 0.000), Ir at (0.000, 0.000, 0.500) and Pb at (0.000, 0.500, 0.170).

The value obtained for the volume is 26.634 Å³ per atom. As for the crystal system: orthorhombic. As for the raw formation energy: 139.5 meV/atom.

Computed, not measured: crystalline Pm3SnI at its relaxed geometry at the PBE level of DFT.

The space group is P2_1/c (No. 14) and the conventional cell measures 9.237, 6.430 and 11.011 Å, with angles of 90.00, 106.96 and 90.00 degrees. The distinct sites, in fractional coordinates, are Pm at (0.034, 0.099, 0.286), Pm at (0.183, 0.643, 0.532), Pm at (0.426, 0.217, 0.867), Sn at (0.347, 0.710, 0.831) and I at (0.179, 0.162, 0.584).

The value obtained for the volume is 31.277 Å³ per atom. As for the crystal system: monoclinic. As for the raw formation energy: -565.6 meV/atom.

Repeat the fifth record exactly.
Computed, not measured: crystalline SbIrPb2 at its relaxed geometry at the PBE level of DFT.

The space group is Immm (No. 71) and the conventional cell measures 3.569, 4.186 and 14.261 Å, with angles of 90.00, 90.00 and 90.00 degrees. The distinct sites, in fractional coordinates, are Sb at (0.000, 0.000, 0.000), Ir at (0.000, 0.000, 0.500) and Pb at (0.000, 0.500, 0.170).

The value obtained for the volume is 26.634 Å³ per atom. As for the crystal system: orthorhombic. As for the raw formation energy: 139.5 meV/atom.

Please write out number 4 again, unchanged.
Computed, not measured: crystalline Zr6Ir5Ru at its relaxed geometry at the PBE level of DFT.

The space group is P2/m (No. 10) and the conventional cell measures 4.675, 6.616 and 7.195 Å, with angles of 90.00, 103.63 and 90.00 degrees. The distinct sites, in fractional coordinates, are Zr at (0.000, 0.250, 0.000), Zr at (0.345, 0.248, 0.665), Ir at (0.138, 0.000, 0.321), Ir at (0.150, 0.500, 0.329), Ir at (0.500, 0.500, 0.000) and Ru at (0.500, 0.000, 0.000).

The value obtained for the volume is 18.021 Å³ per atom. As for the crystal system: monoclinic. The calculation puts the calculated formation energy at -0.754 eV/atom.

Question: Which formula does entry 2 have?
Answer: CaGe2Au3